# 1
DFT (GGA-PBE) results for a geometry-optimized LiTb4Ho3Se8 structure.

uncorrected energy: -269.961 eV/cell
ΔE_f (raw): -1.746 eV per atom
DOS at the Fermi energy: 22.34 states/eV/cell

Cell: 8.1189 8.1189 19.9281 Å, 90.00 90.00 120.00°
Space group R-3m (No. 166, hexagonal axes)
Unique sites:
Li1 0.0000 0.0000 0.0000 [3 per cell]
Tb1 0.0000 0.0000 0.5000 [3 per cell]
Tb2 0.0000 0.5000 0.5000 [9 per cell]
Ho1 0.0000 0.5000 0.0000 [9 per cell]
Se1 0.0000 0.0000 0.2512 [6 per cell]
Se2 0.0067 0.5033 0.7471 [18 per cell]



# 2
DFT (GGA-PBE) results for a geometry-optimized ZnOs3Pd structure.

uncorrected energy: -29.286 eV/cell
DOS at the Fermi energy: 7.94 states/eV/cell
energy above the most stable polymorph in this dataset: 0.00 eV/f.u.
E_form: 10.9 eV per formula unit

Cell: 4.4490 4.4490 4.4490 Å, 90.00 90.00 90.00°
Space group Pm-3m (No. 221)
Unique sites:
Zn1 0.0000 0.0000 0.0000 [1 per cell]
Os1 0.0000 0.0000 0.5000 [3 per cell]
Pd1 0.5000 0.5000 0.5000 [1 per cell]



# 3
DFT (GGA-PBE) results for a geometry-optimized La2HfPd2 structure.

uncorrected energy: -65.429 eV/cell
DOS at the Fermi energy: 11.38 states/eV/cell
E_form: -2.5 eV per formula unit

Cell: 7.3159 7.3159 4.6436 Å, 90.00 90.00 90.00°
Space group P4/mbm (No. 127)
Unique sites:
La1 0.1703 0.3297 0.0000 [4 per cell]
Hf1 0.0000 0.0000 0.5000 [2 per cell]
Pd1 0.1405 0.6405 0.5000 [4 per cell]



# 4
DFT (GGA-PBE) results for a geometry-optimized CsRuSCl2 structure.

uncorrected energy: -21.535 eV/cell
ΔE_f (raw): -0.717 eV per atom
DOS at the Fermi energy: 3.41 states/eV/cell

Cell: 5.2893 5.2893 4.4443 Å, 90.00 90.00 90.00°
Space group P4/mmm (No. 123)
Unique sites:
Cs1 0.0000 0.0000 0.0000 [1 per cell]
Ru1 0.5000 0.5000 0.5000 [1 per cell]
S1 0.5000 0.5000 0.0000 [1 per cell]
Cl1 0.0000 0.5000 0.5000 [2 per cell]



# 5
DFT (GGA-PBE) results for a geometry-optimized AcThAl3 structure.

uncorrected energy: -97.942 eV/cell
DOS at the Fermi energy: 19.05 states/eV/cell
E_form: -1.7 eV per formula unit

Cell: 4.5861 27.2164 4.3814 Å, 90.00 90.00 90.00°
Space group Cmcm (No. 63)
Unique sites:
Ac1 0.0000 0.0745 0.2500 [4 per cell]
Th1 0.0000 0.2057 0.7500 [4 per cell]
Al1 0.0000 0.3234 0.7500 [4 per cell]
Al2 0.0000 0.3784 0.2500 [4 per cell]
Al3 0.0000 0.4756 0.2500 [4 per cell]



# 6
DFT (GGA-PBE) results for a geometry-optimized ThTl2F11 structure.

uncorrected energy: -268.905 eV/cell
ΔE_f (raw): -2.464 eV per atom

Cell: 8.3087 10.4293 11.2976 Å, 90.00 90.00 90.00°
Space group Ibam (No. 72)
Unique sites:
Th1 0.0000 0.0000 0.2500 [4 per cell]
Tl1 0.1630 0.3069 0.0000 [8 per cell]
F1 0.0000 0.5000 0.0000 [4 per cell]
F2 0.1011 0.1712 0.1416 [16 per cell]
F3 0.1072 0.3124 0.5000 [8 per cell]
F4 0.2115 0.0774 0.3676 [16 per cell]



# 7
DFT (GGA-PBE) results for a geometry-optimized P2IrRu structure.

uncorrected energy: -115.817 eV/cell
DOS at the Fermi energy: 14.55 states/eV/cell
energy above the most stable polymorph in this dataset: 1.85 eV/f.u.
E_form: 0.0 eV per formula unit

Cell: 5.9748 5.9748 5.9748 Å, 90.00 90.00 90.00°
Space group Fm-3m (No. 225)
Unique sites:
P1 0.2500 0.2500 0.2500 [8 per cell]
Ir1 0.0000 0.0000 0.0000 [4 per cell]
Ru1 0.0000 0.0000 0.5000 [4 per cell]



# 8
DFT (GGA-PBE) results for a geometry-optimized Rb3UGe2O8 structure.

uncorrected energy: -92.910 eV/cell
ΔE_f (raw): -2.130 eV per atom

Cell: 5.9435 5.9435 8.4491 Å, 90.00 90.00 120.00°
Space group P-3m1 (No. 164)
Unique sites:
Rb1 0.0000 0.0000 0.0000 [1 per cell]
Rb2 0.3333 0.6667 0.7547 [2 per cell]
U1 0.0000 0.0000 0.5000 [1 per cell]
Ge1 0.3333 0.6667 0.2720 [2 per cell]
O1 0.1708 0.3415 0.3524 [6 per cell]
O2 0.3333 0.6667 0.0703 [2 per cell]



# 9
DFT (GGA-PBE) results for a geometry-optimized HfZr2AlH structure.

uncorrected energy: -35.951 eV/cell
DOS at the Fermi energy: 1.91 states/eV/cell
energy above the most stable polymorph in this dataset: 0.00 eV/f.u.

Cell: 4.3950 4.3950 4.3876 Å, 90.00 90.00 90.00°
Space group P4/mmm (No. 123)
Unique sites:
Hf1 0.0000 0.0000 0.0000 [1 per cell]
Zr1 0.0000 0.5000 0.5000 [2 per cell]
Al1 0.5000 0.5000 0.0000 [1 per cell]
H1 0.0000 0.0000 0.5000 [1 per cell]



# 10
DFT (GGA-PBE) results for a geometry-optimized Pr2EuMg structure.

uncorrected energy: -21.496 eV/cell
DOS at the Fermi energy: 3.84 states/eV/cell
energy above the most stable polymorph in this dataset: 0.00 eV/f.u.
E_form: -0.1 eV per formula unit

Cell: 3.9014 3.9014 9.0378 Å, 90.00 90.00 90.00°
Space group P4/mmm (No. 123)
Unique sites:
Pr1 0.0000 0.0000 0.2114 [2 per cell]
Eu1 0.5000 0.5000 0.5000 [1 per cell]
Mg1 0.5000 0.5000 0.0000 [1 per cell]



# 11
DFT (GGA-PBE) results for a geometry-optimized TaNb2MoN structure.

uncorrected energy: -52.761 eV/cell
ΔE_f (raw): -0.323 eV per atom
DOS at the Fermi energy: 4.03 states/eV/cell

Cell: 4.3656 4.3656 4.0933 Å, 90.00 90.00 90.00°
Space group P4/mmm (No. 123)
Unique sites:
Ta1 0.0000 0.0000 0.0000 [1 per cell]
Nb1 0.0000 0.5000 0.5000 [2 per cell]
Mo1 0.5000 0.5000 0.0000 [1 per cell]
N1 0.0000 0.0000 0.5000 [1 per cell]



# 12
DFT (GGA-PBE) results for a geometry-optimized Sm2DyTm4Th structure.

uncorrected energy: -39.098 eV/cell
DOS at the Fermi energy: 11.50 states/eV/cell
E_form: 0.2 eV per formula unit

Cell: 5.0410 5.0410 9.8867 Å, 90.00 90.00 90.00°
Space group P4/mmm (No. 123)
Unique sites:
Sm1 0.0000 0.0000 0.0000 [1 per cell]
Sm2 0.5000 0.5000 0.5000 [1 per cell]
Dy1 0.0000 0.0000 0.5000 [1 per cell]
Tm1 0.0000 0.5000 0.2476 [4 per cell]
Th1 0.5000 0.5000 0.0000 [1 per cell]



- The highest uncorrected energy belongs to which entry?
  Pr2EuMg



- The highest uncorrected energy belongs to which entry?
  Pr2EuMg



- What is the uncorrected energy in the seventh record?
  -115.817 eV/cell



- uncorrected energy of number 12 (Sm2DyTm4Th)?
  -39.098 eV/cell